PBE-GGA Tb4TcSb, optimized geometry; D(E_F) = 22.1 states/eV/cell; calculated density = 8.74 Mg/m³; uncorrected formation energy = -10.463 kcal/mol of atoms
1.0
8.085 0.000 0.000
0.000 4.269 0.000
0.000 0.000 18.834
Tb Tc Sb
16 4 4
Direct
0.001 0.250 0.065
0.054 0.250 0.788
0.125 0.250 0.358
0.147 0.250 0.549
0.353 0.750 0.049
0.375 0.750 0.858
0.446 0.750 0.288
0.499 0.750 0.565
0.501 0.250 0.435
0.554 0.250 0.712
0.625 0.250 0.142
0.647 0.250 0.951
0.853 0.750 0.451
0.875 0.750 0.642
0.946 0.750 0.212
0.999 0.750 0.935
0.245 0.250 0.941
0.255 0.750 0.441
0.745 0.250 0.559
0.755 0.750 0.059
0.249 0.250 0.193
0.251 0.750 0.693
0.749 0.250 0.307
0.751 0.750 0.807